The following is a DFT calculation (GGA-PBE) of crystalline Eu2Ga4Ru at its relaxed geometry.

Values from the calculation:
Space group: No. 139
M_tot: 14.777 μB/f.u.
Total energy: -6.34 eV/atom
Volume: 346.6 Å³/cell
ΔH_f (0 K): -0.350 eV/atom

Cell: 4.734 4.734 15.466 Å, 90.00 90.00 90.00°
Sites, in units of the cell vectors:
Eu  0.000  0.000  0.143
Eu  0.000  0.000  0.857
Eu  0.500  0.500  0.357
Eu  0.500  0.500  0.643
Ga  0.000  0.000  0.339
Ga  0.000  0.000  0.661
Ga  0.000  0.500  0.000
Ga  0.000  0.500  0.500
Ga  0.500  0.000  0.000
Ga  0.500  0.000  0.500
Ga  0.500  0.500  0.161
Ga  0.500  0.500  0.839
Ru  0.000  0.000  0.500
Ru  0.500  0.500  0.000

***

The following is a DFT calculation (GGA-PBE) of crystalline TbEuGaRu at its relaxed geometry.

Values from the calculation:
Space group: No. 216
M_tot: 6.580 μB/f.u.
Total energy: -7.02 eV/atom
Volume: 355.3 Å³/cell
ΔH_f (0 K): -0.221 eV/atom

Cell: 7.083 7.083 7.083 Å, 90.00 90.00 90.00°
Sites, in units of the cell vectors:
Tb  0.000  0.000  0.000
Tb  0.000  0.500  0.500
Tb  0.500  0.000  0.500
Tb  0.500  0.500  0.000
Eu  0.000  0.000  0.500
Eu  0.000  0.500  0.000
Eu  0.500  0.000  0.000
Eu  0.500  0.500  0.500
Ga  0.250  0.250  0.750
Ga  0.250  0.750  0.250
Ga  0.750  0.250  0.250
Ga  0.750  0.750  0.750
Ru  0.250  0.250  0.250
Ru  0.250  0.750  0.750
Ru  0.750  0.250  0.750
Ru  0.750  0.750  0.250

***

The following is a DFT calculation (GGA-PBE) of crystalline EuGa2S4 at its relaxed geometry.

Values from the calculation:
Space group: No. 66
M_tot: 7.001 μB/f.u.
Total energy: -5.82 eV/atom
Volume: 331.3 Å³/cell

Cell: 6.029 6.029 10.471 Å, 90.00 90.00 119.49°
Sites, in units of the cell vectors:
Eu  0.000  0.000  0.250
Eu  0.000  0.000  0.750
Ga  0.263  0.734  0.000
Ga  0.266  0.737  0.500
Ga  0.734  0.263  0.500
Ga  0.737  0.266  0.000
S  0.000  0.500  0.167
S  0.000  0.500  0.833
S  0.145  0.312  0.500
S  0.312  0.145  0.000
S  0.500  0.000  0.333
S  0.500  0.000  0.667
S  0.688  0.855  0.000
S  0.855  0.688  0.500

***

The following is a DFT calculation (GGA-PBE) of crystalline EuGaSb2 at its relaxed geometry.

Values from the calculation:
Space group: No. 123
M_tot: 6.907 μB/f.u.
Total energy: -5.90 eV/atom
Volume: 105.0 Å³/cell

Cell: 4.716 4.716 4.722 Å, 90.00 90.00 90.00°
Sites, in units of the cell vectors:
Eu  0.000  0.000  0.000
Ga  0.500  0.500  0.000
Sb  0.000  0.500  0.500
Sb  0.500  0.000  0.500

***

The following is a DFT calculation (GGA-PBE) of crystalline EuGaSb2 at its relaxed geometry.

Values from the calculation:
Space group: No. 166
M_tot: 7.700 μB/f.u.
Total energy: -5.34 eV/atom
Volume: 371.8 Å³/cell

Cell: 3.766 3.766 30.281 Å, 90.00 90.00 120.00°
Sites, in units of the cell vectors:
Eu  0.000  0.000  0.000
Eu  0.333  0.667  0.667
Eu  0.667  0.333  0.333
Ga  0.000  0.000  0.500
Ga  0.333  0.667  0.167
Ga  0.667  0.333  0.833
Sb  0.000  0.000  0.106
Sb  0.000  0.000  0.894
Sb  0.333  0.667  0.560
Sb  0.333  0.667  0.773
Sb  0.667  0.333  0.227
Sb  0.667  0.333  0.440

***

The following is a DFT calculation (GGA-PBE) of crystalline Eu2GaSb at its relaxed geometry.

Values from the calculation:
Space group: No. 123
M_tot: 14.283 μB/f.u.
Total energy: -7.62 eV/atom
Volume: 113.9 Å³/cell

Cell: 5.129 5.129 4.328 Å, 90.00 90.00 90.00°
Sites, in units of the cell vectors:
Eu  0.000  0.500  0.000
Eu  0.500  0.000  0.000
Ga  0.000  0.000  0.500
Sb  0.500  0.500  0.500

***

The following is a DFT calculation (GGA-PBE) of crystalline Eu2GaSb at its relaxed geometry.

Values from the calculation:
Space group: No. 225
M_tot: 14.230 μB/f.u.
Total energy: -7.57 eV/atom
Volume: 456.7 Å³/cell

Cell: 7.701 7.701 7.701 Å, 90.00 90.00 90.00°
Sites, in units of the cell vectors:
Eu  0.250  0.250  0.250
Eu  0.250  0.250  0.750
Eu  0.250  0.750  0.250
Eu  0.250  0.750  0.750
Eu  0.750  0.250  0.250
Eu  0.750  0.250  0.750
Eu  0.750  0.750  0.250
Eu  0.750  0.750  0.750
Ga  0.000  0.000  0.000
Ga  0.000  0.500  0.500
Ga  0.500  0.000  0.500
Ga  0.500  0.500  0.000
Sb  0.000  0.000  0.500
Sb  0.000  0.500  0.000
Sb  0.500  0.000  0.000
Sb  0.500  0.500  0.500

***

The following is a DFT calculation (GGA-PBE) of crystalline EuGaSb at its relaxed geometry.

Values from the calculation:
Space group: No. 156
M_tot: 7.003 μB/f.u.
Total energy: -6.45 eV/atom
Volume: 84.0 Å³/cell

Cell: 4.506 4.506 4.778 Å, 90.00 90.00 120.00°
Sites, in units of the cell vectors:
Eu  0.000  0.000  0.000
Ga  0.333  0.667  0.342
Sb  0.667  0.333  0.573

***

Among the records above, which one has the lowest total energy?
number 6